Entry from the Alexandria database: a geometry-optimized ErZr2Se4 structure (PBE).

Unit cell a=3.7491 b=12.5409 c=13.8141 alpha=90.00 beta=90.00 gamma=90.00
Space group Cmcm (No. 63)
One atom of each set of equivalent atoms:
1 Er 0.0000 0.1047 0.2500 x4
2 Zr 0.0000 0.3505 0.0585 x8
3 Se 0.0000 0.0000 0.0000 x4
4 Se 0.0000 0.2879 0.6277 x8
5 Se 0.0000 0.4395 0.2500 x4

Results
As for the raw formation energy: -1.40 eV per atom. The total DFT energy (no corrections) comes out at -6.482 eV/atom. The calculation puts the density of states at the Fermi level at 4.023 states/eV/f.u. Its total moment is 0.0 μB/f.u.

Entry from the Alexandria database: a geometry-optimized ErZrSe2 structure (PBE).

Unit cell a=3.7103 b=3.7103 c=22.0165 alpha=90.00 beta=90.00 gamma=120.00
Space group R3m (No. 160, hexagonal axes)
One atom of each set of equivalent atoms:
1 Er 0.0000 0.0000 0.0000 x3
2 Zr 0.0000 0.0000 0.8330 x3
3 Se 0.0000 0.0000 0.4206 x3
4 Se 0.0000 0.0000 0.5804 x3

Results
As for the raw formation energy: -1.41 eV per atom. The total DFT energy (no corrections) comes out at -6.427 eV/atom. The energy relative to the lowest polymorph listed for this composition is 0.000 eV per atom. The calculation puts the density of states at the Fermi level at 2.347 states/eV/f.u. Its total moment is 0.0 μB/f.u.